i.
RbTaAg2 | GGA-PBE | relaxed

Output
Total magnetization   0.0 μB per cell
Density   8.3 g/cm3

Lattice parameters (Å, degrees): 7.266 7.266 7.266 90.00 90.00 90.00
Space group Fm-3m (No. 225)
Asymmetric unit:
Rb: 0.000 0.000 0.000 (multiplicity 4)
Ta: 0.000 0.000 0.500 (multiplicity 4)
Ag: 0.250 0.250 0.250 (multiplicity 8)


ii.
RbTaAg2 | GGA-PBE | relaxed

Output
Total magnetization   8.5 μB per cell
Density   6.7 g/cm3

Lattice parameters (Å, degrees): 8.154 8.154 7.176 90.00 90.00 90.00
Space group I-42d (No. 122)
Asymmetric unit:
Rb: 0.000 0.000 0.000 (multiplicity 4)
Ta: 0.000 0.000 0.500 (multiplicity 4)
Ag: 0.186 0.250 0.625 (multiplicity 8)


Short version: i is the least stable of them.


i.
Rb2TaAg | GGA-PBE | relaxed

Output
Total magnetization   16.6 μB per cell
Density   4.7 g/cm3

Lattice parameters (Å, degrees): 8.633 8.633 8.633 90.00 90.00 90.00
Space group Fm-3m (No. 225)
Asymmetric unit:
Rb: 0.250 0.250 0.250 (multiplicity 8)
Ta: 0.000 0.000 0.000 (multiplicity 4)
Ag: 0.000 0.000 0.500 (multiplicity 4)


ii.
Rb2TaAg | GGA-PBE | relaxed

Output
Total magnetization   16.1 μB per cell
Density   3.5 g/cm3

Lattice parameters (Å, degrees): 12.724 12.724 5.386 90.00 90.00 90.00
Space group I-42d (No. 122)
Asymmetric unit:
Rb: 0.096 0.250 0.125 (multiplicity 8)
Ta: 0.000 0.000 0.500 (multiplicity 4)
Ag: 0.000 0.000 0.000 (multiplicity 4)


Short version: i is the least stable of them.


i.
RbTc3Ag | GGA-PBE | relaxed

Output
Total magnetization   3.7 μB per cell
Density   7.9 g/cm3

Lattice parameters (Å, degrees): 4.685 4.685 4.685 90.00 90.00 90.00
Space group Pm-3m (No. 221)
Asymmetric unit:
Rb: 0.000 0.000 0.000 (multiplicity 1)
Tc: 0.000 0.000 0.500 (multiplicity 3)
Ag: 0.500 0.500 0.500 (multiplicity 1)


ii.
RbTc3Ag | GGA-PBE | relaxed

Output
Total magnetization   10.3 μB per cell
Density   5.8 g/cm3

Lattice parameters (Å, degrees): 5.186 5.186 5.186 90.00 90.00 90.00
Space group Pm-3m (No. 221)
Asymmetric unit:
Rb: 0.000 0.000 0.000 (multiplicity 1)
Tc: 0.000 0.500 0.500 (multiplicity 3)
Ag: 0.500 0.500 0.500 (multiplicity 1)


Short version: i is the least stable of them.


i.
Rb2AgTe2 | GGA-PBE | relaxed

Output
Total magnetization   0.0 μB per cell
Density   4.4 g/cm3

Lattice parameters (Å, degrees): 13.531 4.932 12.755 90.00 107.81 90.00
Space group C2/m (No. 12)
Asymmetric unit:
Rb: 0.087 0.000 0.412 (multiplicity 4)
Rb: 0.195 0.500 0.153 (multiplicity 4)
Ag: 0.081 0.500 0.824 (multiplicity 4)
Te: 0.044 0.000 0.910 (multiplicity 4)
Te: 0.153 0.500 0.649 (multiplicity 4)


ii.
Rb2AgTe2 | GGA-PBE | relaxed

Output
Total magnetization   0.0 μB per cell
Density   4.6 g/cm3

Lattice parameters (Å, degrees): 5.258 4.536 16.342 90.00 90.00 90.00
Space group Amm2 (No. 38)
Asymmetric unit:
Rb: 0.000 0.000 0.000 (multiplicity 2)
Rb: 0.000 0.000 0.233 (multiplicity 2)
Ag: 0.500 0.000 0.427 (multiplicity 2)
Te: 0.500 0.000 0.594 (multiplicity 2)
Te: 0.500 0.000 0.833 (multiplicity 2)


iii.
Rb2AgTe2 | GGA-PBE | relaxed

Output
Total magnetization   0.0 μB per cell
Density   4.8 g/cm3

Lattice parameters (Å, degrees): 8.071 8.071 5.646 90.00 90.00 90.00
Space group P4/mbm (No. 127)
Asymmetric unit:
Rb: 0.151 0.349 0.000 (multiplicity 4)
Ag: 0.000 0.000 0.500 (multiplicity 2)
Te: 0.165 0.665 0.500 (multiplicity 4)


iv.
Rb2AgTe2 | GGA-PBE | relaxed

Output
Total magnetization   0.0 μB per cell
Density   3.9 g/cm3

Lattice parameters (Å, degrees): 7.296 7.296 8.583 90.00 90.00 90.00
Space group I4/mmm (No. 139)
Asymmetric unit:
Rb: 0.000 0.500 0.250 (multiplicity 4)
Ag: 0.000 0.000 0.000 (multiplicity 2)
Te: 0.000 0.000 0.312 (multiplicity 4)


Short version: iv is the least stable of them.


i.
RbAgTe3 | GGA-PBE | relaxed

Output
Total magnetization   0.0 μB per cell
Density   5.5 g/cm3

Lattice parameters (Å, degrees): 9.1232 9.1232 14.4981 90.00 90.00 120.00
Space group R-3c (No. 167, hexagonal axes)
Asymmetric unit:
Rb: 0.0000 0.0000 0.2500 (multiplicity 6)
Ag: 0.0000 0.0000 0.0000 (multiplicity 6)
Te: 0.0000 0.4993 0.2500 (multiplicity 18)


ii.
RbAgTe3 | GGA-PBE | relaxed

Output
Total magnetization   0.0 μB per cell
Density   3.9 g/cm3

Lattice parameters (Å, degrees): 6.242 6.242 6.242 90.00 90.00 90.00
Space group Pm-3m (No. 221)
Asymmetric unit:
Rb: 0.000 0.000 0.000 (multiplicity 1)
Ag: 0.500 0.500 0.500 (multiplicity 1)
Te: 0.000 0.000 0.500 (multiplicity 3)


Short version: ii is the least stable of them.


i.
RbAgTe3 | GGA-PBE | relaxed

Output
Total magnetization   0.0 μB per cell
Density   5.5 g/cm3

Lattice parameters (Å, degrees): 5.597 5.597 5.597 90.00 90.00 90.00
Space group Pm-3m (No. 221)
Asymmetric unit:
Rb: 0.000 0.000 0.000 (multiplicity 1)
Ag: 0.500 0.500 0.500 (multiplicity 1)
Te: 0.000 0.500 0.500 (multiplicity 3)


ii.
RbAgTe3 | GGA-PBE | relaxed

Output
Total magnetization   0.0 μB per cell
Density   4.9 g/cm3

Lattice parameters (Å, degrees): 7.018 7.032 8.708 92.57 97.97 111.53
Space group P-1 (No. 2)
Asymmetric unit:
Rb: 0.189 0.260 0.333 (multiplicity 2)
Ag: 0.280 0.763 0.138 (multiplicity 2)
Te: 0.154 0.410 0.905 (multiplicity 2)
Te: 0.314 0.097 0.921 (multiplicity 2)
Te: 0.314 0.830 0.461 (multiplicity 2)


Short version: i is the least stable of them.


i.
RbTlAgTe2 | GGA-PBE | relaxed

Output
Total magnetization   0.0 μB per cell
Density   5.7 g/cm3

Lattice parameters (Å, degrees): 7.224 15.230 6.880 90.00 90.00 90.00
Space group Cmme (No. 67)
Asymmetric unit:
Rb: 0.000 0.250 0.245 (multiplicity 4)
Tl: 0.250 0.000 0.500 (multiplicity 4)
Ag: 0.000 0.000 0.000 (multiplicity 4)
Te: 0.000 0.132 0.744 (multiplicity 8)


ii.
RbTlAgTe2 | GGA-PBE | relaxed

Output
Total magnetization   0.0 μB per cell
Density   5.9 g/cm3

Lattice parameters (Å, degrees): 5.742 5.742 5.562 90.00 90.00 90.00
Space group P4/mmm (No. 123)
Asymmetric unit:
Rb: 0.000 0.000 0.000 (multiplicity 1)
Tl: 0.500 0.500 0.000 (multiplicity 1)
Ag: 0.500 0.500 0.500 (multiplicity 1)
Te: 0.000 0.500 0.500 (multiplicity 2)


Short version: ii is the least stable of them.


i.
RbTiAg2 | GGA-PBE | relaxed

Output
Total magnetization   0.0 μB per cell
Density   5.8 g/cm3

Lattice parameters (Å, degrees): 7.354 7.354 7.354 90.00 90.00 90.00
Space group Fm-3m (No. 225)
Asymmetric unit:
Rb: 0.000 0.000 0.000 (multiplicity 4)
Ti: 0.000 0.000 0.500 (multiplicity 4)
Ag: 0.250 0.250 0.250 (multiplicity 8)


ii.
RbTiAg2 | GGA-PBE | relaxed

Output
Total magnetization   10.8 μB per cell
Density   4.8 g/cm3

Lattice parameters (Å, degrees): 8.223 8.223 7.218 90.00 90.00 90.00
Space group I-42d (No. 122)
Asymmetric unit:
Rb: 0.000 0.000 0.000 (multiplicity 4)
Ti: 0.000 0.000 0.500 (multiplicity 4)
Ag: 0.184 0.250 0.625 (multiplicity 8)


Short version: i is the least stable of them.


i.
Rb2TlAg | GGA-PBE | relaxed

Output
Total magnetization   0.0 μB per cell
Density   4.8 g/cm3

Lattice parameters (Å, degrees): 4.402 4.402 8.690 90.00 90.00 90.00
Space group P4/mmm (No. 123)
Asymmetric unit:
Rb: 0.000 0.000 0.234 (multiplicity 2)
Tl: 0.500 0.500 0.500 (multiplicity 1)
Ag: 0.500 0.500 0.000 (multiplicity 1)


ii.
Rb2TlAg | GGA-PBE | relaxed

Output
Total magnetization   0.0 μB per cell
Density   4.2 g/cm3

Lattice parameters (Å, degrees): 11.849 7.211 4.830 90.00 113.74 90.00
Space group C2 (No. 5)
Asymmetric unit:
Rb: 0.192 0.000 0.193 (multiplicity 4)
Tl: 0.000 0.502 0.000 (multiplicity 2)
Ag: 0.000 0.287 0.500 (multiplicity 2)


iii.
Rb2TlAg | GGA-PBE | relaxed

Output
Total magnetization   0.0 μB per cell
Density   3.6 g/cm3

Lattice parameters (Å, degrees): 12.762 12.762 5.516 90.00 90.00 90.00
Space group I-42d (No. 122)
Asymmetric unit:
Rb: 0.093 0.250 0.125 (multiplicity 8)
Tl: 0.000 0.000 0.500 (multiplicity 4)
Ag: 0.000 0.000 0.000 (multiplicity 4)


Short version: iii is the least stable of them.


i.
RbTl3Ag | GGA-PBE | relaxed

Output
Total magnetization   0.0 μB per cell
Density   5.1 g/cm3

Lattice parameters (Å, degrees): 6.409 6.409 6.409 90.00 90.00 90.00
Space group Pm-3m (No. 221)
Asymmetric unit:
Rb: 0.000 0.000 0.000 (multiplicity 1)
Tl: 0.000 0.000 0.500 (multiplicity 3)
Ag: 0.500 0.500 0.500 (multiplicity 1)


ii.
RbTl3Ag | GGA-PBE | relaxed

Output
Total magnetization   0.0 μB per cell
Density   8.1 g/cm3

Lattice parameters (Å, degrees): 9.000 15.211 4.844 90.00 90.00 90.00
Space group Cmmm (No. 65)
Asymmetric unit:
Rb: 0.000 0.219 0.000 (multiplicity 4)
Tl: 0.000 0.000 0.500 (multiplicity 2)
Tl: 0.000 0.500 0.000 (multiplicity 2)
Tl: 0.188 0.382 0.500 (multiplicity 8)
Ag: 0.176 0.000 0.000 (multiplicity 4)


iii.
RbTl3Ag | GGA-PBE | relaxed

Output
Total magnetization   0.0 μB per cell
Density   7.3 g/cm3

Lattice parameters (Å, degrees): 5.690 5.690 5.690 90.00 90.00 90.00
Space group Pm-3m (No. 221)
Asymmetric unit:
Rb: 0.000 0.000 0.000 (multiplicity 1)
Tl: 0.000 0.500 0.500 (multiplicity 3)
Ag: 0.500 0.500 0.500 (multiplicity 1)


Short version: i is the least stable of them.


i.
RbTl2ZnAg | GGA-PBE | relaxed

Output
Total magnetization   0.0 μB per cell
Density   6.9 g/cm3

Lattice parameters (Å, degrees): 5.487 5.487 5.301 90.00 90.00 90.00
Space group P4/mmm (No. 123)
Asymmetric unit:
Rb: 0.000 0.000 0.000 (multiplicity 1)
Tl: 0.000 0.500 0.500 (multiplicity 2)
Zn: 0.500 0.500 0.500 (multiplicity 1)
Ag: 0.500 0.500 0.000 (multiplicity 1)


ii.
RbTl2ZnAg | GGA-PBE | relaxed

Output
Total magnetization   0.0 μB per cell
Density   6.6 g/cm3

Lattice parameters (Å, degrees): 5.659 5.659 5.230 90.00 90.00 90.00
Space group P4/mmm (No. 123)
Asymmetric unit:
Rb: 0.000 0.000 0.000 (multiplicity 1)
Tl: 0.000 0.500 0.500 (multiplicity 2)
Zn: 0.500 0.500 0.000 (multiplicity 1)
Ag: 0.500 0.500 0.500 (multiplicity 1)


Short version: ii is the least stable of them.